Entry from Alexandria via LeMat-Bulk: an optimized crystal structure of ScZn2Rh (PBE).

Cell and atoms, written as extended XYZ:
```
4
Lattice="4.5073 0.0000 0.0000 0.0000 2.9550 -0.0223 0.0000 1.3059 4.8526" Properties=species:S:1:pos:R:3 pbc="T T T"
Sc 2.2536 3.1956 3.6227
Zn 0.0000 0.3119 0.1022
Zn 0.0000 1.8186 2.3129
Rh 2.2536 1.0652 1.2076
```

Values from the calculation:
Energy relative to the elements = -430 meV per atom
Crystal system = monoclinic
Total DFT energy (no corrections) = -17.95 eV per cell
Calculated density = 7.15 g cm⁻³
SG = P2/m

=====

Entry from Alexandria via LeMat-Bulk: an optimized crystal structure of ScZn2Rh (PBE).

Cell and atoms, written as extended XYZ:
```
4
Lattice="4.7596 -0.0146 -0.0015 -1.8407 4.3893 -0.0015 0.0016 0.0024 3.0463" Properties=species:S:1:pos:R:3 pbc="T T T"
Zn 1.4594 2.1873 -0.0015
Zn 0.0000 0.0000 0.0000
Rh 2.3806 -0.0061 1.5224
Sc -0.9195 2.1958 1.5224
```

Values from the calculation:
Energy relative to the elements = -378 meV per atom
Crystal system = orthorhombic
Total DFT energy (no corrections) = -17.74 eV per cell
Calculated density = 7.28 g cm⁻³
SG = Cmmm

=====

Entry from Alexandria via LeMat-Bulk: an optimized crystal structure of Sc2ZnRh4 (PBE).

Cell and atoms, written as extended XYZ:
```
7
Lattice="4.9808 -0.2716 -1.9187 -2.5612 4.4453 -1.4979 -0.1565 0.2716 5.3353" Properties=species:S:1:pos:R:3 pbc="T T T"
Zn 0.0000 0.0000 0.0000
Rh 2.4904 -0.1358 -0.9593
Rh -0.0782 0.1358 2.6677
Rh -1.2806 2.2226 -0.7490
Rh 1.1316 2.2226 0.9593
Sc 2.4122 0.0000 1.7083
Sc 1.2098 2.0868 -1.7083
```

Values from the calculation:
Energy relative to the elements = -461 meV per atom
Crystal system = tetragonal
Total DFT energy (no corrections) = -46.57 eV per cell
Calculated density = 8.09 g cm⁻³
SG = I4/mmm

=====

The highest energy relative to the elements belongs to which entry? number 2